Density functional theory data (PBE) for crystalline BaTlHg2Ir at its relaxed geometry.

a b c (Å): 5.361 5.361 5.241
angles (deg): 90.00 90.00 90.00
Fractional positions:
Ba  0.000  0.000  0.000
Tl  0.500  0.500  0.000
Hg  0.000  0.500  0.500
Hg  0.500  0.000  0.500
Ir  0.500  0.500  0.500

## Properties
Space-group type ... P4/mmm
V ... 30.13 A^3/atom
DOS at the Fermi energy ... 2.59 states/eV/cell
Uncorrected energy ... -2.9200 eV/atom